one.
Entry from Alexandria: a PBEsol-optimized structure of KZrSb2 (meta-GGA SCAN).

Cell: 3.148 3.901 8.742 Å, 90.00 90.00 90.00°
Atoms (fractional coordinates):
Zr: 0.500 0.500 0.000
Sb: 0.000 0.000 0.206
K: 0.500 0.500 0.500
Sb: 0.000 0.000 0.794

Results
Magnetization: 0.000 μB per cell
Calculated density: 5.8 Mg/m³

=====

two.
Entry from Alexandria: a PBEsol-optimized structure of KZrSb2 (meta-GGA SCAN).

Cell: 4.380 4.380 6.103 Å, 111.03 111.03 90.00°
Atoms (fractional coordinates):
K: 0.250 0.750 0.500
Zr: 0.500 0.500 0.000
Sb: 0.000 0.000 0.000
Sb: 0.750 0.250 0.500

Results
Magnetization: 0.000 μB per cell
Calculated density: 6.2 Mg/m³

=====

How far above the most stable structure does each one sit? In meV/atom: one 0; two 531.